Here is a relaxed structure of Y2CoCu2 from Alexandria via LeMat-Bulk. Energies are from PBE.

Values from the calculation:
Theoretical density: 6.29 g/cm³
DFT formation energy: -0.0193 eV per atom
Energy: -5.665 eV per atom

a = 3.3947 Å, b = 3.3947 Å, c = 16.6777 Å
α = 90.00°, β = 90.00°, γ = 90.00°
Space group I4/mmm (No. 139)
Unique sites:
1 Y 0.0000 0.0000 0.0977 [4 per cell]
2 Co 0.0000 0.0000 0.5000 [2 per cell]
3 Cu 0.0000 0.5000 0.2500 [4 per cell]